This record from the Alexandria database describes a relaxed structure of MnWN2O. The functional is GGA+U. Values from VASP.

The structure in Quantum ESPRESSO input format:
```
&SYSTEM
  ibrav = 0, nat = 5, ntyp = 4
/
ATOMIC_SPECIES
Mn 54.94 Mn.upf
O 16.00 O.upf
W 183.84 W.upf
N 14.01 N.upf
ATOMIC_POSITIONS crystal
Mn 0.500 0.500 0.500
O 0.000 0.000 0.500
W 0.000 0.000 0.000
N 0.000 0.500 0.000
N 0.500 0.000 0.000
CELL_PARAMETERS angstrom
3.999 0.000 0.000
0.000 3.999 0.000
0.000 0.000 3.892
```

Summary:
DFT total energy	-7.547	eV per atom